(1)
# Ag7Pt3 | the Alexandria database | meta-GGA SCAN | PBEsol geometry
data_Ag7Pt3
_chemical_formula_sum 'Ag7 Pt3'
_cell_length_a 2.795
_cell_length_b 4.044
_cell_length_c 14.095
_cell_angle_alpha 90.00
_cell_angle_beta 90.00
_cell_angle_gamma 90.00
_space_group_name_H-M_alt 'P 1'
_space_group_IT_number 1
loop_
_space_group_symop_operation_xyz
'x,y,z'
loop_
_atom_site_label
_atom_site_type_symbol
_atom_site_fract_x
_atom_site_fract_y
_atom_site_fract_z
Ag1 Ag 0.000 0.000 0.000
Ag2 Ag 0.000 0.000 0.197
Ag3 Ag 0.000 0.000 0.592
Ag4 Ag 0.000 0.000 0.796
Ag5 Ag 0.500 0.500 0.493
Ag6 Ag 0.500 0.500 0.696
Ag7 Ag 0.500 0.500 0.899
Pt1 Pt 0.000 0.000 0.392
Pt2 Pt 0.500 0.500 0.100
Pt3 Pt 0.500 0.500 0.297
# energy relative to the elements	0.033	eV/atom
# crystal system	orthorhombic

---

(2)
# MnCN2 | the Alexandria database | meta-GGA SCAN | PBEsol geometry
data_MnCN2
_chemical_formula_sum 'Mn1 C1 N2'
_cell_length_a 5.664
_cell_length_b 5.664
_cell_length_c 5.664
_cell_angle_alpha 24.92
_cell_angle_beta 24.92
_cell_angle_gamma 24.92
_space_group_name_H-M_alt 'P 1'
_space_group_IT_number 1
loop_
_space_group_symop_operation_xyz
'x,y,z'
loop_
_atom_site_label
_atom_site_type_symbol
_atom_site_fract_x
_atom_site_fract_y
_atom_site_fract_z
Mn1 Mn 0.000 0.000 0.000
C1 C 0.500 0.500 0.500
N1 N 0.111 0.111 0.111
N2 N 0.889 0.889 0.889
# formation energy (no corrections)	1.49	eV per atom
# crystal system	trigonal

---

(3)
# Al2RhW | the Alexandria database | meta-GGA SCAN | PBEsol geometry
data_Al2RhW
_chemical_formula_sum 'Al2 Rh1 W1'
_cell_length_a 4.336
_cell_length_b 4.336
_cell_length_c 4.336
_cell_angle_alpha 121.06
_cell_angle_beta 121.06
_cell_angle_gamma 88.18
_space_group_name_H-M_alt 'P 1'
_space_group_IT_number 1
loop_
_space_group_symop_operation_xyz
'x,y,z'
loop_
_atom_site_label
_atom_site_type_symbol
_atom_site_fract_x
_atom_site_fract_y
_atom_site_fract_z
Al1 Al 0.250 0.750 0.500
Al2 Al 0.750 0.250 0.500
Rh1 Rh 0.000 0.000 0.000
W1 W 0.500 0.500 0.000
# energy relative to the elements	-0.320	eV/atom
# crystal system	tetragonal
# energy relative to the lowest polymorph listed for this composition	0.082	eV per atom

---

(4)
# CdHg2Pb | the Alexandria database | meta-GGA SCAN | PBEsol geometry
data_CdHg2Pb
_chemical_formula_sum 'Cd1 Hg2 Pb1'
_cell_length_a 5.167
_cell_length_b 5.167
_cell_length_c 5.167
_cell_angle_alpha 60.00
_cell_angle_beta 60.00
_cell_angle_gamma 60.00
_space_group_name_H-M_alt 'P 1'
_space_group_IT_number 1
loop_
_space_group_symop_operation_xyz
'x,y,z'
loop_
_atom_site_label
_atom_site_type_symbol
_atom_site_fract_x
_atom_site_fract_y
_atom_site_fract_z
Cd1 Cd 0.000 0.000 0.000
Hg1 Hg 0.250 0.250 0.250
Hg2 Hg 0.500 0.500 0.500
Pb1 Pb 0.750 0.750 0.750
# energy relative to the elements	0.106	eV/atom
# crystal system	cubic

---

(5)
# Cs2CaNbW | the Alexandria database | meta-GGA SCAN | PBEsol geometry
data_Cs2CaNbW
_chemical_formula_sum 'Cs2 Ca1 Nb1 W1'
_cell_length_a 6.554
_cell_length_b 6.554
_cell_length_c 5.322
_cell_angle_alpha 90.00
_cell_angle_beta 90.00
_cell_angle_gamma 90.00
_space_group_name_H-M_alt 'P 1'
_space_group_IT_number 1
loop_
_space_group_symop_operation_xyz
'x,y,z'
loop_
_atom_site_label
_atom_site_type_symbol
_atom_site_fract_x
_atom_site_fract_y
_atom_site_fract_z
Cs1 Cs 0.000 0.500 0.000
Cs2 Cs 0.500 0.000 0.000
Ca1 Ca 0.000 0.000 0.000
Nb1 Nb 0.000 0.000 0.500
W1 W 0.500 0.500 0.500
# energy relative to the elements	2.645	eV/atom
# crystal system	tetragonal

---

(6)
# TcAsSBr2 | the Alexandria database | meta-GGA SCAN | PBEsol geometry
data_TcAsSBr2
_chemical_formula_sum 'Tc1 As1 S1 Br2'
_cell_length_a 4.805
_cell_length_b 4.805
_cell_length_c 4.869
_cell_angle_alpha 90.00
_cell_angle_beta 90.00
_cell_angle_gamma 90.00
_space_group_name_H-M_alt 'P 1'
_space_group_IT_number 1
loop_
_space_group_symop_operation_xyz
'x,y,z'
loop_
_atom_site_label
_atom_site_type_symbol
_atom_site_fract_x
_atom_site_fract_y
_atom_site_fract_z
Tc1 Tc 0.000 0.000 0.000
As1 As 0.000 0.000 0.500
S1 S 0.500 0.500 0.500
Br1 Br 0.000 0.500 0.000
Br2 Br 0.500 0.000 0.000
# formation energy (no corrections)	0.67	eV per atom
# crystal system	tetragonal
# energy relative to the lowest polymorph listed for this composition	0.000	eV per atom

---

(7)
# KZnCu2 | the Alexandria database | meta-GGA SCAN | PBEsol geometry
data_KZnCu2
_chemical_formula_sum 'K1 Zn1 Cu2'
_cell_length_a 4.999
_cell_length_b 4.999
_cell_length_c 2.688
_cell_angle_alpha 90.00
_cell_angle_beta 90.00
_cell_angle_gamma 90.36
_space_group_name_H-M_alt 'P 1'
_space_group_IT_number 1
loop_
_space_group_symop_operation_xyz
'x,y,z'
loop_
_atom_site_label
_atom_site_type_symbol
_atom_site_fract_x
_atom_site_fract_y
_atom_site_fract_z
K1 K 0.000 0.000 0.000
Zn1 Zn 0.500 0.500 0.000
Cu1 Cu 0.000 0.500 0.500
Cu2 Cu 0.500 0.000 0.500
# energy relative to the elements	0.591	eV/atom
# crystal system	orthorhombic

---

(8)
# Cs3MgH5 | the Alexandria database | meta-GGA SCAN | PBEsol geometry
data_Cs3MgH5
_chemical_formula_sum 'Cs6 Mg2 H10'
_cell_length_a 8.532
_cell_length_b 8.532
_cell_length_c 8.532
_cell_angle_alpha 122.96
_cell_angle_beta 122.96
_cell_angle_gamma 84.94
_space_group_name_H-M_alt 'P 1'
_space_group_IT_number 1
loop_
_space_group_symop_operation_xyz
'x,y,z'
loop_
_atom_site_label
_atom_site_type_symbol
_atom_site_fract_x
_atom_site_fract_y
_atom_site_fract_z
Cs1 Cs 0.177 0.677 0.855
Cs2 Cs 0.250 0.250 0.000
Cs3 Cs 0.323 0.177 0.500
Cs4 Cs 0.677 0.823 0.500
Cs5 Cs 0.750 0.750 0.000
Cs6 Cs 0.823 0.323 0.145
Mg1 Mg 0.250 0.750 0.500
Mg2 Mg 0.750 0.250 0.500
H1 H 0.000 0.000 0.000
H2 H 0.032 0.789 0.500
H3 H 0.211 0.711 0.243
H4 H 0.289 0.532 0.500
H5 H 0.468 0.968 0.757
H6 H 0.500 0.500 0.000
H7 H 0.532 0.032 0.243
H8 H 0.711 0.468 0.500
H9 H 0.789 0.289 0.757
H10 H 0.968 0.211 0.500
# crystal system	tetragonal
# raw total energy	-277.2	eV/cell

---

Number 1: magnetization 0.00 μB/cell. Number 2: magnetization 0.00 μB/cell. Number 3: magnetization 1.27 μB/cell. Number 4: magnetization 0.00 μB/cell. Number 5: magnetization 9.47 μB/cell. Number 6: magnetization 0.00 μB/cell. Number 7: magnetization 0.00 μB/cell. Number 8: magnetization 0.00 μB/cell.